Below is a relaxed structure of NaInGe, with properties calculated at the PBE level.

Formation energy, meV per atom: 5.8
Crystal system: orthorhombic
DFT total energy, eV per atom: -2.886
Magnetization, μB per formula unit: 0.000
DOS(E_F), states/eV per cell: 3.4
Symmetry: Pnma, No. 62

Cell lengths 11.032, 6.773, 4.215 Å; angles 90.00, 90.00, 90.00 degrees
Positions (direct):
Na (0.203, 0.250, 0.023)
Na (0.297, 0.750, 0.523)
Na (0.703, 0.250, 0.477)
Na (0.797, 0.750, 0.977)
In (0.000, 0.000, 0.500)
In (0.000, 0.500, 0.500)
In (0.500, 0.000, 0.000)
In (0.500, 0.500, 0.000)
Ge (0.090, 0.750, 0.034)
Ge (0.410, 0.250, 0.534)
Ge (0.590, 0.750, 0.466)
Ge (0.910, 0.250, 0.966)